A plane-wave DFT calculation with GGA-PBE was carried out for a relaxed structure of RbCo3Tc.

Results
formation energy	1.365	eV per atom
energy above the lowest structure with this stoichiometry	0	meV per atom
Fermi-level density of states	5.5	states/eV/f.u.
theoretical density	6.00	g/cm³

```
data_RbCo3Tc
_chemical_formula_sum 'Rb1 Co3 Tc1'
_cell_length_a 4.636
_cell_length_b 4.636
_cell_length_c 4.636
_cell_angle_alpha 90.00
_cell_angle_beta 90.00
_cell_angle_gamma 90.00
_space_group_name_H-M_alt 'P m -3 m'
_space_group_IT_number 221
_space_group_name_Hall '-P 4 2 3'
loop_
_atom_site_label
_atom_site_type_symbol
_atom_site_fract_x
_atom_site_fract_y
_atom_site_fract_z
Rb1 Rb 0.000 0.000 0.000
Co1 Co 0.000 0.500 0.500
Tc1 Tc 0.500 0.500 0.500
```

A plane-wave DFT calculation with GGA-PBE was carried out for a relaxed structure of Li2MgRu.

Results
formation energy	0.154	eV per atom
Fermi-level density of states	2.9	states/eV/f.u.
theoretical density	3.49	g/cm³

```
data_Li2MgRu
_chemical_formula_sum 'Li2 Mg1 Ru1'
_cell_length_a 2.839
_cell_length_b 2.839
_cell_length_c 8.224
_cell_angle_alpha 90.00
_cell_angle_beta 90.00
_cell_angle_gamma 90.00
_space_group_name_H-M_alt 'P 4 m m'
_space_group_IT_number 99
loop_
_space_group_symop_operation_xyz
'x,y,z'
'-y,x,z'
'-x,-y,z'
'y,-x,z'
'-x,y,z'
'y,x,z'
'x,-y,z'
'-y,-x,z'
loop_
_atom_site_label
_atom_site_type_symbol
_atom_site_fract_x
_atom_site_fract_y
_atom_site_fract_z
Li1 Li 0.000 0.000 0.000
Li2 Li 0.500 0.500 0.266
Mg1 Mg 0.000 0.000 0.548
Ru1 Ru 0.500 0.500 0.780
```

A plane-wave DFT calculation with GGA-PBE was carried out for a relaxed structure of HoTm3Mg7.

Results
formation energy	0.111	eV per atom
energy above the lowest structure with this stoichiometry	0	meV per atom
Fermi-level density of states	9.7	states/eV/f.u.
theoretical density	4.68	g/cm³

```
data_HoTm3Mg7
_chemical_formula_sum 'Ho4 Tm12 Mg28'
_cell_length_a 3.279
_cell_length_b 22.294
_cell_length_c 16.341
_cell_angle_alpha 90.00
_cell_angle_beta 90.00
_cell_angle_gamma 90.00
_space_group_name_H-M_alt 'C m c m'
_space_group_IT_number 63
_space_group_name_Hall '-C 2c 2'
loop_
_atom_site_label
_atom_site_type_symbol
_atom_site_fract_x
_atom_site_fract_y
_atom_site_fract_z
Ho1 Ho 0.000 0.013 0.250
Tm1 Tm 0.000 0.118 0.531
Tm2 Tm 0.000 0.235 0.250
Mg1 Mg 0.000 0.261 0.576
Mg2 Mg 0.000 0.376 0.657
Mg3 Mg 0.000 0.382 0.250
Mg4 Mg 0.000 0.495 0.584
```

A plane-wave DFT calculation with GGA-PBE was carried out for a relaxed structure of ZrCd2Se.

Results
ΔE_f (raw)	-0.312	eV/atom
Fermi-level density of states	2.7	states/eV/f.u.
theoretical density	7.60	g/cm³

```
data_ZrCd2Se
_chemical_formula_sum 'Zr2 Cd4 Se2'
_cell_length_a 3.957
_cell_length_b 3.957
_cell_length_c 11.022
_cell_angle_alpha 90.00
_cell_angle_beta 90.00
_cell_angle_gamma 90.00
_space_group_name_H-M_alt 'I 4/m m m'
_space_group_IT_number 139
_space_group_name_Hall '-I 4 2'
loop_
_atom_site_label
_atom_site_type_symbol
_atom_site_fract_x
_atom_site_fract_y
_atom_site_fract_z
Zr1 Zr 0.000 0.000 0.000
Cd1 Cd 0.000 0.500 0.250
Se1 Se 0.000 0.000 0.500
```